Compound: CaTa2W
Source: Alexandria
Functional: PBE-GGA
Structure: optimized geometry

Results
Distance to the lowest polymorph of the same formula ... 144.2 kJ/mol of formula units
Calculated formation energy ... 0.79 eV per atom

a = 4.787 Å, b = 4.787 Å, c = 3.359 Å
α = 90.00°, β = 90.00°, γ = 90.00°
Space group P4/mmm (No. 123)
One atom of each set of equivalent atoms:
Ca (0.000, 0.000, 0.000)
Ta (0.000, 0.500, 0.500)
W (0.500, 0.500, 0.000)